Below is an optimized crystal structure of FeNiP2Cl, with properties calculated at the GGA-PBE level.

a = 4.2035 Å, b = 4.2035 Å, c = 4.9323 Å
α = 90.00°, β = 90.00°, γ = 90.00°
Space group P4/mmm (No. 123)
Asymmetric unit:
Fe 0.0000 0.0000 0.0000 [1 per cell]
Ni 0.5000 0.5000 0.5000 [1 per cell]
P 0.0000 0.5000 0.0000 [2 per cell]
Cl 0.0000 0.0000 0.5000 [1 per cell]

Computed properties:
**Calculated volume**: 17.4 Å³/atom
**Density of states at the Fermi level**: 0.9002 states/eV/atom
**E**: -4.7281 eV/atom

***

Below is an optimized crystal structure of FeNiP2Cl, with properties calculated at the GGA-PBE level.

a = 4.3223 Å, b = 4.3223 Å, c = 4.8296 Å
α = 90.00°, β = 90.00°, γ = 90.00°
Space group P4/mmm (No. 123)
Asymmetric unit:
Fe 0.0000 0.0000 0.0000 [1 per cell]
Ni 0.5000 0.5000 0.5000 [1 per cell]
P 0.0000 0.5000 0.5000 [2 per cell]
Cl 0.5000 0.5000 0.0000 [1 per cell]

Computed properties:
**Calculated volume**: 18.0 Å³/atom
**Density of states at the Fermi level**: 1.3132 states/eV/atom
**E**: -4.6510 eV/atom

***

Below is an optimized crystal structure of RbFeNiCl5, with properties calculated at the GGA-PBE level.

a = 9.7026 Å, b = 11.5942 Å, c = 8.3319 Å
α = 90.00°, β = 103.72°, γ = 90.00°
Space group C2/c (No. 15)
Asymmetric unit:
Rb 0.0000 0.1403 0.2500 [4 per cell]
Fe 0.0000 0.2216 0.7500 [4 per cell]
Ni 0.0000 0.5000 0.0000 [4 per cell]
Cl 0.0000 0.4278 0.2500 [4 per cell]
Cl 0.1159 0.3388 0.6065 [8 per cell]
Cl 0.1480 0.1088 0.9283 [8 per cell]

Computed properties:
**Calculated volume**: 28.5 Å³/atom
**Density of states at the Fermi level**: 0.3774 states/eV/atom
**E**: -4.0313 eV/atom

***

Below is an optimized crystal structure of RbFe2NiCl8, with properties calculated at the GGA-PBE level.

a = 10.2956 Å, b = 7.0542 Å, c = 9.4529 Å
α = 90.00°, β = 97.47°, γ = 90.00°
Space group C2/m (No. 12)
Asymmetric unit:
Rb 0.0000 0.0000 0.0000 [2 per cell]
Fe 0.1162 0.5000 0.2987 [4 per cell]
Ni 0.0000 0.0000 0.5000 [2 per cell]
Cl 0.0142 0.2433 0.6899 [8 per cell]
Cl 0.1856 0.5000 0.0871 [4 per cell]
Cl 0.2327 0.0000 0.5093 [4 per cell]

Computed properties:
**Calculated volume**: 28.4 Å³/atom
**Density of states at the Fermi level**: 0.5286 states/eV/atom
**E**: -4.1198 eV/atom

***

Below is an optimized crystal structure of FeNiSCl2, with properties calculated at the GGA-PBE level.

a = 4.4986 Å, b = 4.4986 Å, c = 4.6737 Å
α = 90.00°, β = 90.00°, γ = 90.00°
Space group P4/mmm (No. 123)
Asymmetric unit:
Fe 0.0000 0.0000 0.0000 [1 per cell]
Ni 0.5000 0.5000 0.5000 [1 per cell]
S 0.5000 0.5000 0.0000 [1 per cell]
Cl 0.0000 0.5000 0.5000 [2 per cell]

Computed properties:
**Calculated volume**: 18.9 Å³/atom
**Density of states at the Fermi level**: 0.9903 states/eV/atom
**E**: -4.1142 eV/atom

***

Below is an optimized crystal structure of FeNiS2Cl, with properties calculated at the GGA-PBE level.

a = 4.4754 Å, b = 4.4754 Å, c = 4.5175 Å
α = 90.00°, β = 90.00°, γ = 90.00°
Space group P4/mmm (No. 123)
Asymmetric unit:
Fe 0.0000 0.0000 0.0000 [1 per cell]
Ni 0.5000 0.5000 0.5000 [1 per cell]
S 0.0000 0.5000 0.5000 [2 per cell]
Cl 0.5000 0.5000 0.0000 [1 per cell]

Computed properties:
**Calculated volume**: 18.1 Å³/atom
**Density of states at the Fermi level**: 1.0022 states/eV/atom
**E**: -4.3953 eV/atom

***

Below is an optimized crystal structure of FeNiSCl2, with properties calculated at the GGA-PBE level.

a = 4.6099 Å, b = 4.6099 Å, c = 4.7407 Å
α = 90.00°, β = 90.00°, γ = 90.00°
Space group P4/mmm (No. 123)
Asymmetric unit:
Fe 0.0000 0.0000 0.0000 [1 per cell]
Ni 0.5000 0.5000 0.5000 [1 per cell]
S 0.0000 0.0000 0.5000 [1 per cell]
Cl 0.0000 0.5000 0.0000 [2 per cell]

Computed properties:
**Calculated volume**: 20.1 Å³/atom
**Density of states at the Fermi level**: 1.4023 states/eV/atom
**E**: -4.0634 eV/atom

***

Below is an optimized crystal structure of FeNiSn2Cl, with properties calculated at the GGA-PBE level.

a = 5.0147 Å, b = 5.0147 Å, c = 4.4757 Å
α = 90.00°, β = 90.00°, γ = 90.00°
Space group P4/mmm (No. 123)
Asymmetric unit:
Fe 0.0000 0.0000 0.0000 [1 per cell]
Ni 0.5000 0.5000 0.5000 [1 per cell]
Sn 0.0000 0.5000 0.5000 [2 per cell]
Cl 0.5000 0.5000 0.0000 [1 per cell]

Computed properties:
**Calculated volume**: 22.5 Å³/atom
**Density of states at the Fermi level**: 1.0477 states/eV/atom
**E**: -4.2905 eV/atom

***

Below is an optimized crystal structure of Tl2FeNiCl6, with properties calculated at the GGA-PBE level.

a = 6.9695 Å, b = 6.9695 Å, c = 34.6759 Å
α = 90.00°, β = 90.00°, γ = 120.00°
Space group R-3m (No. 166, hexagonal axes)
Asymmetric unit:
Tl 0.0000 0.0000 0.1207 [6 per cell]
Tl 0.0000 0.0000 0.2947 [6 per cell]
Fe 0.0000 0.0000 0.4145 [6 per cell]
Ni 0.0000 0.0000 0.0000 [3 per cell]
Ni 0.0000 0.0000 0.5000 [3 per cell]
Cl 0.0020 0.5010 0.7071 [18 per cell]
Cl 0.0164 0.5082 0.1240 [18 per cell]

Computed properties:
**Calculated volume**: 24.3 Å³/atom
**Density of states at the Fermi level**: 0.6920 states/eV/atom
**E**: -3.7899 eV/atom

***

Below is an optimized crystal structure of TlFe2NiCl8, with properties calculated at the GGA-PBE level.

a = 10.2480 Å, b = 7.0792 Å, c = 9.2218 Å
α = 90.00°, β = 96.27°, γ = 90.00°
Space group C2/m (No. 12)
Asymmetric unit:
Tl 0.0000 0.0000 0.0000 [2 per cell]
Fe 0.1192 0.5000 0.2945 [4 per cell]
Ni 0.0000 0.0000 0.5000 [2 per cell]
Cl 0.0115 0.2431 0.6940 [8 per cell]
Cl 0.1925 0.5000 0.0783 [4 per cell]
Cl 0.2333 0.0000 0.5087 [4 per cell]

Computed properties:
**Calculated volume**: 27.7 Å³/atom
**Density of states at the Fermi level**: 0.5268 states/eV/atom
**E**: -4.0673 eV/atom

***

Below is an optimized crystal structure of NpFe2Cl8, with properties calculated at the GGA-PBE level.

a = 13.2601 Å, b = 8.8223 Å, c = 6.2126 Å
α = 90.00°, β = 92.06°, γ = 90.00°
Space group C2/m (No. 12)
Asymmetric unit:
Np 0.0000 0.0000 0.0000 [2 per cell]
Fe 0.1825 0.0000 0.6346 [4 per cell]
Cl 0.0912 0.2038 0.7563 [8 per cell]
Cl 0.1619 0.5000 0.2560 [4 per cell]
Cl 0.1671 0.0000 0.2629 [4 per cell]

Computed properties:
**Calculated volume**: 33.0 Å³/atom
**Density of states at the Fermi level**: 0.8147 states/eV/atom
**E**: -5.1784 eV/atom

***

Below is an optimized crystal structure of NpTlFeCl6, with properties calculated at the GGA-PBE level.

a = 6.7979 Å, b = 6.7979 Å, c = 14.2148 Å
α = 90.00°, β = 90.00°, γ = 120.00°
Space group P-31c (No. 163)
Asymmetric unit:
Np 0.3333 0.6667 0.2500 [2 per cell]
Tl 0.0000 0.0000 0.0000 [2 per cell]
Fe 0.3333 0.6667 0.7500 [2 per cell]
Cl 0.0225 0.3808 0.6459 [12 per cell]

Computed properties:
**Calculated volume**: 31.6 Å³/atom
**Density of states at the Fermi level**: 1.5392 states/eV/atom
**E**: -5.0830 eV/atom